Density functional theory data (GGA-PBEsol) for a relaxed structure of BaSr2Li.

Properties
ρ = 2.9 g/cm³
Space-group type = P4mm (99)
DFT formation energy = 0.020 eV/atom

a = 4.2805 Å, b = 4.2805 Å, c = 10.1013 Å
α = 90.00°, β = 90.00°, γ = 90.00°
Last column: nearest neighbours and their distance in Å.
Atoms (fractional coordinates):
Ba: 0.0000 0.0000 0.0000  4 Li 3.73, 1 Sr 4.12
Sr: 0.0000 0.0000 0.4081  4 Li 3.59
Sr: 0.5000 0.5000 0.6946  8 Sr 4.19-4.28, 4 Ba 4.32
Li: 0.5000 0.5000 0.2164  4 Sr 3.59, 4 Ba 3.73

***

Density functional theory data (GGA-PBEsol) for a relaxed structure of TcAu4.

Properties
ρ = 15.7 g/cm³
Space-group type = I4/mmm (139)
DFT formation energy = 0.683 eV/atom

a = 3.7129 Å, b = 3.7129 Å, c = 13.6352 Å
α = 90.00°, β = 90.00°, γ = 90.00°
Last column: nearest neighbours and their distance in Å.
Atoms (fractional coordinates):
Tc: 0.0000 0.0000 0.0000  8 Au 2.93
Tc: 0.5000 0.5000 0.5000  8 Au 2.93
Au: 0.0000 0.0000 0.4042  5 Au 2.61-2.80
Au: 0.0000 0.0000 0.5958  5 Au 2.61-2.80
Au: 0.0000 0.5000 0.2500  8 Au 2.63-2.80
Au: 0.0000 0.5000 0.7500  8 Au 2.63-2.80
Au: 0.5000 0.0000 0.2500  8 Au 2.63-2.80
Au: 0.5000 0.0000 0.7500  8 Au 2.63-2.80
Au: 0.5000 0.5000 0.0958  5 Au 2.61-2.80
Au: 0.5000 0.5000 0.9042  5 Au 2.61-2.80

***

Density functional theory data (GGA-PBEsol) for a relaxed structure of La3RhN.

Properties
ρ = 5.8 g/cm³
Space-group type = Pm-3m (221)
Final energy = -29.722 eV/cell

a = 5.3424 Å, b = 5.3424 Å, c = 5.3424 Å
α = 90.00°, β = 90.00°, γ = 90.00°
Last column: nearest neighbours and their distance in Å.
Atoms (fractional coordinates):
La: 0.0000 0.0000 0.5000  2 Rh 2.67
La: 0.0000 0.5000 0.0000  2 Rh 2.67
La: 0.5000 0.0000 0.0000  2 Rh 2.67
Rh: 0.0000 0.0000 0.0000  6 La 2.67
N: 0.5000 0.5000 0.5000  12 La 3.78

***

Density functional theory data (GGA-PBEsol) for a relaxed structure of MoP.

Properties
ρ = 7.6 g/cm³
Space-group type = I4_1/amd (141)
DFT formation energy = 0.033 eV/atom

a = 3.8635 Å, b = 3.8635 Å, c = 7.4163 Å
α = 90.00°, β = 90.00°, γ = 90.00°
Last column: nearest neighbours and their distance in Å.
Atoms (fractional coordinates):
Mo: 0.0000 0.2500 0.3750  4 Mo 2.68, 8 P 2.68-2.73
Mo: 0.0000 0.7500 0.6250  4 Mo 2.68, 8 P 2.68-2.73
Mo: 0.5000 0.2500 0.1250  4 Mo 2.68, 8 P 2.68-2.73
Mo: 0.5000 0.7500 0.8750  4 Mo 2.68, 8 P 2.68-2.73
P: 0.0000 0.2500 0.8750  8 Mo 2.68-2.73, 4 P 2.68
P: 0.0000 0.7500 0.1250  8 Mo 2.68-2.73, 4 P 2.68
P: 0.5000 0.2500 0.6250  8 Mo 2.68-2.73, 4 P 2.68
P: 0.5000 0.7500 0.3750  8 Mo 2.68-2.73, 4 P 2.68

***

Density functional theory data (GGA-PBEsol) for a relaxed structure of ScFeMo2.

Properties
ρ = 8.2 g/cm³
Space-group type = P2/m (10)
DFT formation energy = 0.196 eV/atom

a = 2.7388 Å, b = 4.4370 Å, c = 4.9993 Å
α = 90.00°, β = 101.48°, γ = 90.00°
Last column: nearest neighbours and their distance in Å.
Atoms (fractional coordinates):
Sc: 0.0000 0.0000 0.0000  2 Fe 2.60, 4 Mo 2.73, 2 Sc 2.74
Fe: 0.5000 0.0000 0.5000  2 Sc 2.60, 4 Mo 2.67, 2 Fe 2.74
Mo: 0.2693 0.5000 0.7464  4 Mo 2.60-2.74, 2 Fe 2.67, 2 Sc 2.73
Mo: 0.7307 0.5000 0.2536  4 Mo 2.60-2.74, 2 Fe 2.67, 2 Sc 2.73

***

Density functional theory data (GGA-PBEsol) for a relaxed structure of RbZn2Cd2.

Properties
ρ = 5.8 g/cm³
Space-group type = I4/mmm (139)
DFT formation energy = 0.094 eV/atom

a = 4.8911 Å, b = 4.8911 Å, c = 10.6321 Å
α = 90.00°, β = 90.00°, γ = 90.00°
Last column: nearest neighbours and their distance in Å.
Atoms (fractional coordinates):
Rb: 0.0000 0.0000 0.0000  8 Zn 3.61, 10 Cd 3.75-3.87
Rb: 0.5000 0.5000 0.5000  8 Zn 3.61, 10 Cd 3.75-3.87
Zn: 0.0000 0.5000 0.2500  4 Cd 2.73
Zn: 0.0000 0.5000 0.7500  4 Cd 2.73
Zn: 0.5000 0.0000 0.2500  4 Cd 2.73
Zn: 0.5000 0.0000 0.7500  4 Cd 2.73
Cd: 0.0000 0.0000 0.3638  4 Zn 2.73, 1 Cd 2.90
Cd: 0.0000 0.0000 0.6362  4 Zn 2.73, 1 Cd 2.90
Cd: 0.5000 0.5000 0.1362  4 Zn 2.73, 1 Cd 2.90
Cd: 0.5000 0.5000 0.8638  4 Zn 2.73, 1 Cd 2.90

***

Density functional theory data (GGA-PBEsol) for a relaxed structure of LiCd2Ni.

Properties
ρ = 8.0 g/cm³
Space-group type = Cmmm (65)
DFT formation energy = -0.124 eV/atom

a = 6.1738 Å, b = 6.1815 Å, c = 3.1734 Å
α = 90.00°, β = 90.00°, γ = 90.00°
Last column: nearest neighbours and their distance in Å.
Atoms (fractional coordinates):
Li: 0.0000 0.0000 0.0000  8 Cd 2.70
Li: 0.5000 0.5000 0.0000  8 Cd 2.70
Cd: 0.2500 0.2500 0.5000  4 Li 2.70, 4 Ni 2.70
Cd: 0.2500 0.7500 0.5000  4 Li 2.70, 4 Ni 2.70
Cd: 0.7500 0.2500 0.5000  4 Li 2.70, 4 Ni 2.70
Cd: 0.7500 0.7500 0.5000  4 Li 2.70, 4 Ni 2.70
Ni: 0.0000 0.5000 0.0000  8 Cd 2.70
Ni: 0.5000 0.0000 0.0000  8 Cd 2.70

***

Density functional theory data (GGA-PBEsol) for a relaxed structure of Co3SnRu.

Properties
ρ = 8.0 g/cm³
Space-group type = Pm-3m (221)
DFT formation energy = 1.300 eV/atom

a = 4.3483 Å, b = 4.3483 Å, c = 4.3483 Å
α = 90.00°, β = 90.00°, γ = 90.00°
Last column: nearest neighbours and their distance in Å.
Atoms (fractional coordinates):
Co: 0.0000 0.0000 0.5000  2 Ru 2.17
Co: 0.0000 0.5000 0.0000  2 Ru 2.17
Co: 0.5000 0.0000 0.0000  2 Ru 2.17
Sn: 0.5000 0.5000 0.5000  12 Co 3.07
Ru: 0.0000 0.0000 0.0000  6 Co 2.17

***

Density functional theory data (GGA-PBEsol) for a relaxed structure of ScHg2.

Properties
ρ = 11.8 g/cm³
Space-group type = I4_1/amd (141)
DFT formation energy = -0.362 eV/atom

a = 13.8189 Å, b = 13.8189 Å, c = 13.8189 Å
α = 162.02°, β = 162.02°, γ = 25.53°
Last column: nearest neighbours and their distance in Å.
Atoms (fractional coordinates):
Sc: 0.2950 0.5450 0.7500  10 Hg 3.05-3.10, 2 Sc 3.25
Sc: 0.4550 0.7050 0.7500  10 Hg 3.05-3.10, 2 Sc 3.25
Sc: 0.5450 0.2950 0.2500  10 Hg 3.05-3.10, 2 Sc 3.25
Sc: 0.7050 0.4550 0.2500  10 Hg 3.05-3.10, 2 Sc 3.25
Hg: 0.0374 0.7874 0.2500  6 Hg 2.95-3.20, 6 Sc 3.06-3.10
Hg: 0.1250 0.3750 0.7500  4 Sc 3.05, 8 Hg 3.05-3.20
Hg: 0.2126 0.9626 0.2500  6 Hg 2.95-3.20, 6 Sc 3.06-3.10
Hg: 0.3750 0.1250 0.2500  4 Sc 3.05, 8 Hg 3.05-3.20
Hg: 0.6250 0.8750 0.7500  4 Sc 3.05, 8 Hg 3.05-3.20
Hg: 0.7874 0.0374 0.7500  6 Hg 2.95-3.20, 6 Sc 3.06-3.10
Hg: 0.8750 0.6250 0.2500  4 Sc 3.05, 8 Hg 3.05-3.20
Hg: 0.9626 0.2126 0.7500  6 Hg 2.95-3.20, 6 Sc 3.06-3.10

***

Density functional theory data (GGA-PBEsol) for a relaxed structure of Tb6RhBr10.

Properties
ρ = 5.9 g/cm³
Space-group type = P-1 (2)
Final energy = -83.897 eV/cell

a = 7.2188 Å, b = 8.9919 Å, c = 9.0436 Å
α = 108.21°, β = 97.05°, γ = 105.60°
Last column: nearest neighbours and their distance in Å.
Atoms (fractional coordinates):
Tb: 0.0298 0.1988 0.4051  1 Rh 2.65, 4 Br 2.81-2.96
Tb: 0.1262 0.5449 0.2494  1 Rh 2.65, 4 Br 2.88-2.96
Tb: 0.3704 0.6410 0.6833  1 Rh 2.70, 5 Br 2.78-2.99
Tb: 0.6296 0.3590 0.3167  1 Rh 2.70, 5 Br 2.78-2.99
Tb: 0.8738 0.4551 0.7506  1 Rh 2.65, 4 Br 2.88-2.96
Tb: 0.9702 0.8012 0.5949  1 Rh 2.65, 4 Br 2.81-2.96
Rh: 0.0000 0.5000 0.5000  6 Tb 2.65-2.70
Br: 0.0883 0.8713 0.3236  3 Tb 2.89-2.96
Br: 0.2086 0.2361 0.1435  3 Tb 2.89-2.98
Br: 0.2594 0.5827 0.9608  3 Tb 2.88-2.97
Br: 0.3605 0.9639 0.7748  2 Tb 2.78-2.81
Br: 0.4505 0.3193 0.5864  4 Tb 2.96-3.00
Br: 0.5495 0.6807 0.4136  4 Tb 2.96-3.00
Br: 0.6395 0.0361 0.2252  2 Tb 2.78-2.81
Br: 0.7406 0.4173 0.0392  3 Tb 2.88-2.97
Br: 0.7914 0.7639 0.8565  3 Tb 2.89-2.98
Br: 0.9117 0.1287 0.6764  3 Tb 2.89-2.96

***

Density functional theory data (GGA-PBEsol) for a relaxed structure of Ba3LaInW2O12.

Properties
ρ = 7.8 g/cm³
Space-group type = R3m (160)
Final energy = -154.687 eV/cell

a = 9.7571 Å, b = 9.7571 Å, c = 9.7571 Å
α = 34.08°, β = 34.08°, γ = 34.08°
Last column: nearest neighbours and their distance in Å.
Atoms (fractional coordinates):
Ba: 0.0000 0.0000 0.0000  12 O 2.76-2.97
Ba: 0.1572 0.1572 0.1572  12 O 2.74-2.90
Ba: 0.5787 0.5787 0.5787  12 O 2.84-2.90
La: 0.4298 0.4298 0.4298  3 O 2.48
In: 0.2887 0.2887 0.2887  6 O 2.12-2.16
W: 0.7115 0.7115 0.7115  6 O 1.86-2.00
W: 0.8650 0.8650 0.8650  6 O 1.90-1.97
O: 0.0664 0.0664 0.5924  1 W 1.97, 1 In 2.16
O: 0.0664 0.5924 0.0664  1 W 1.97, 1 In 2.16
O: 0.1559 0.6656 0.6656  1 W 1.90
O: 0.4212 0.9078 0.9078  1 W 1.86
O: 0.5077 0.5077 0.9853  1 W 2.00, 1 In 2.12
O: 0.5077 0.9853 0.5077  1 W 2.00, 1 In 2.12
O: 0.5924 0.0664 0.0664  1 W 1.97, 1 In 2.16
O: 0.6656 0.1559 0.6656  1 W 1.90
O: 0.6656 0.6656 0.1559  1 W 1.90
O: 0.9078 0.4212 0.9078  1 W 1.86
O: 0.9078 0.9078 0.4212  1 W 1.86
O: 0.9853 0.5077 0.5077  1 W 2.00, 1 In 2.12

***

Density functional theory data (GGA-PBEsol) for a relaxed structure of MnNi3O4.

Properties
ρ = 6.9 g/cm³
Space-group type = Pmmm (47)
Final energy = -54.622 eV/cell

a = 2.9930 Å, b = 4.1065 Å, c = 5.8074 Å
α = 90.00°, β = 90.00°, γ = 90.00°
Last column: nearest neighbours and their distance in Å.
Atoms (fractional coordinates):
Mn: 0.0000 0.0000 0.0000  6 O 2.05-2.08
Ni: 0.0000 0.0000 0.5000  6 O 2.05-2.09
Ni: 0.5000 0.5000 0.2558  6 O 2.05-2.11
Ni: 0.5000 0.5000 0.7442  6 O 2.05-2.11
O: 0.0000 0.5000 0.0000  2 Mn 2.05, 4 Ni 2.11
O: 0.0000 0.5000 0.5000  6 Ni 2.05-2.06
O: 0.5000 0.0000 0.2489  4 Ni 2.05-2.09, 2 Mn 2.08
O: 0.5000 0.0000 0.7511  4 Ni 2.05-2.09, 2 Mn 2.08